A plane-wave DFT calculation with PBE-GGA was carried out for a geometry-optimized Ce2PuPa structure.

a b c (Å): 4.8173 4.5480 4.5480
angles (deg): 90.00 90.00 90.00
Last column: nearest neighbours and their distance in Å.
Sites, in units of the cell vectors:
Ce (0.0000, 0.5000, 0.0000)  4 Ce 3.22, 4 Pa 3.31, 4 Pu 3.31
Ce (0.0000, 0.0000, 0.5000)  4 Ce 3.22, 4 Pa 3.31, 4 Pu 3.31
Pa (0.5000, 0.5000, 0.5000)  4 Pu 3.22, 8 Ce 3.31
Pu (0.5000, 0.0000, 0.0000)  4 Pa 3.22, 8 Ce 3.31

Computed properties:
ΔH_f (0 K): 55 meV per atom
Energy above the lowest structure with this stoichiometry: 0 meV/atom
Space group: P4/mmm